Record 1
VASP calculation (PBE-GGA) on a relaxed structure of K2Mg4SnPb3.

Output
E = -25.03 eV per cell
Mass density = 4.91 g/cm3
Energy of formation = -1.3 eV per formula unit

Lattice parameters (Å, degrees): 4.867 4.867 13.086 90.00 90.00 90.00
Fractional coordinates of all 10 atoms:
K: 0.500 0.000 0.248
K: 0.000 0.500 0.752
Mg: 0.500 0.500 0.000
Mg: 0.000 0.000 0.000
Mg: 0.500 0.000 0.641
Mg: 0.000 0.500 0.359
Sn: 0.500 0.500 0.500
Pb: 0.000 0.000 0.500
Pb: 0.500 0.000 0.863
Pb: 0.000 0.500 0.137

=====

Record 2
VASP calculation (PBE-GGA) on a relaxed structure of Tl3ZnSi.

Output
Polymorph energy (0 for the lowest one) = 0 meV/atom
E = -11.32 eV per cell
Mass density = 7.12 g/cm3
Uncorrected formation energy = 0.4960 eV/atom

Lattice parameters (Å, degrees): 5.482 5.482 5.482 90.00 90.00 90.00
Fractional coordinates of all 5 atoms:
Tl: 0.000 0.500 0.000
Tl: 0.000 0.000 0.500
Tl: 0.500 0.000 0.000
Si: 0.000 0.000 0.000
Zn: 0.500 0.500 0.500

=====

Record 3
VASP calculation (PBE-GGA) on a relaxed structure of Ba3Ta.

Output
Polymorph energy (0 for the lowest one) = 447 meV/atom
E = -13.74 eV per cell
Mass density = 5.94 g/cm3
Energy of formation = 3.9 eV per formula unit

Lattice parameters (Å, degrees): 6.185 6.185 6.185 120.57 120.57 89.01
Fractional coordinates of all 4 atoms:
Ba: 0.250 0.750 0.500
Ba: 0.500 0.500 0.000
Ba: 0.750 0.250 0.500
Ta: 0.000 0.000 0.000

=====

Record 4
VASP calculation (PBE-GGA) on a relaxed structure of Nd8Sm4Dy3.

Output
E = -66.03 eV per cell
Mass density = 7.15 g/cm3
Energy of formation = 4.8 eV per formula unit

Lattice parameters (Å, degrees): 6.915 9.356 9.356 81.99 111.94 111.94
Fractional coordinates of all 15 atoms:
Nd: 0.234 0.247 0.247
Nd: 0.000 0.703 0.297
Nd: 0.786 0.297 0.297
Nd: 0.500 0.752 0.248
Nd: 0.500 0.248 0.752
Nd: 0.214 0.703 0.703
Nd: 0.000 0.297 0.703
Nd: 0.766 0.753 0.753
Sm: 0.500 0.000 0.000
Sm: 0.000 0.500 0.000
Sm: 0.000 0.000 0.000
Sm: 0.000 0.000 0.500
Dy: 0.500 0.500 0.000
Dy: 0.500 0.000 0.500
Dy: 0.500 0.500 0.500

=====

Record 5
VASP calculation (PBE-GGA) on a relaxed structure of GaHg2S3.

Output
E = -34.67 eV per cell
Mass density = 6.03 g/cm3
Uncorrected formation energy = -0.2207 eV/atom

Lattice parameters (Å, degrees): 6.583 7.352 7.352 118.61 90.00 90.00
Fractional coordinates of all 12 atoms:
Ga: 0.044 0.843 0.843
Ga: 0.544 0.157 0.157
Hg: 0.547 0.822 0.495
Hg: 0.047 0.505 0.178
Hg: 0.547 0.495 0.822
Hg: 0.047 0.178 0.505
S: 0.957 0.840 0.537
S: 0.457 0.463 0.160
S: 0.957 0.537 0.840
S: 0.457 0.160 0.463
S: 0.406 0.869 0.869
S: 0.906 0.131 0.131